Here is crystalline Ti4Te8Pb at its relaxed geometry from Alexandria via LeMat-Bulk. Energies are from PBE.

Lattice parameters (Å, degrees): 7.650 7.650 9.186 65.39 65.39 60.00
Each line ends with the local moment (μB).
Element x y z (fractional)
Ti  0.000  0.000  0.000  0.21
Te  0.764  0.764  0.213  -0.01
Te  0.260  0.764  0.213  -0.01
Te  0.764  0.260  0.213  -0.01
Te  0.263  0.263  0.212  -0.01
Ti  0.500  0.000  0.000  0.12
Ti  0.000  0.500  0.000  0.12
Te  0.236  0.236  0.787  -0.01
Te  0.236  0.740  0.787  -0.01
Te  0.740  0.236  0.787  -0.01
Pb  0.500  0.500  0.500  0.01
Ti  0.500  0.500  0.000  0.12
Te  0.737  0.737  0.788  -0.01

Calculated values
As for the uncorrected formation energy: -617 meV per atom.


Here is crystalline TiTePb at its relaxed geometry from Alexandria via LeMat-Bulk. Energies are from PBE.

Lattice parameters (Å, degrees): 3.670 6.625 6.827 89.24 90.00 73.94
Each line ends with the local moment (μB).
Element x y z (fractional)
Ti  0.126  0.249  0.514  0.17
Pb  0.466  0.570  0.779  0.00
Te  0.715  0.068  0.766  -0.01
Ti  0.874  0.751  0.486  0.17
Pb  0.534  0.430  0.221  0.00
Te  0.285  0.932  0.234  -0.01

Calculated values
As for the uncorrected formation energy: -258 meV per atom.


Here is crystalline TiTe2Pb at its relaxed geometry from Alexandria via LeMat-Bulk. Energies are from PBE.

Lattice parameters (Å, degrees): 3.752 3.752 9.446 78.54 78.54 60.00
Element x y z (fractional)
Te  0.063  0.063  0.811
Ti  0.666  0.666  0.001
Pb  0.501  0.501  0.498
Te  0.270  0.270  0.189

Calculated values
As for the uncorrected formation energy: -439 meV per atom.


Here is crystalline TiTe2Pb at its relaxed geometry from Alexandria via LeMat-Bulk. Energies are from PBE.

Lattice parameters (Å, degrees): 6.963 6.963 8.101 64.55 64.55 90.00
Each line ends with the local moment (μB).
Element x y z (fractional)
Ti  0.250  0.750  0.500  1.47
Pb  0.000  0.000  0.000  0.08
Te  0.571  0.125  0.250  -0.05
Te  0.179  0.625  0.250  -0.04
Te  0.375  0.429  0.750  -0.05
Ti  0.500  0.500  0.000  1.46
Te  0.875  0.821  0.750  -0.05
Pb  0.750  0.250  0.500  0.09

Calculated values
As for the uncorrected formation energy: -196 meV per atom.


Number 1 is which compound? Ti4Te8Pb